Density functional theory data (PBE) for crystalline Rb5Er2F12 at its relaxed geometry.

Results
- electronic total energy (eV per atom) = -5.0933
- E_form (uncorrected) (meV/atom) = -3176
- crystal system = monoclinic

```
data_Rb5Er2F12
_chemical_formula_sum 'Rb10 Er4 F24'
_cell_length_a 13.765
_cell_length_b 8.267
_cell_length_c 6.841
_cell_angle_alpha 90.00
_cell_angle_beta 98.12
_cell_angle_gamma 90.00
_space_group_name_H-M_alt 'C 1 2/m 1'
_space_group_IT_number 12
_space_group_name_Hall '-C 2y'
loop_
_atom_site_label
_atom_site_type_symbol
_atom_site_fract_x
_atom_site_fract_y
_atom_site_fract_z
Rb1 Rb 0.000 0.000 0.000
Rb2 Rb 0.140 0.500 0.024
Rb3 Rb 0.240 0.000 0.466
Er1 Er 0.000 0.267 0.500
F1 F 0.037 0.500 0.344
F2 F 0.059 0.000 0.614
F3 F 0.097 0.207 0.279
F4 F 0.135 0.292 0.711
```